Li2VO2F | PBE with a Hubbard U | relaxed

Summary:
The value obtained for the energy above the most stable polymorph in this dataset is 99.4 meV per atom. As for the symmetry: Pm (6). The raw total energy comes out at -0.4506 Ry/atom.

Structure (POSCAR):
```
Li2VO2F
1.0
-2.615 0.957 1.157
-2.998 -8.444 0.208
2.148 -3.776 7.976
Li O F V
8 8 4 4
direct
0.500 0.997 0.866
0.000 0.249 0.915
0.500 0.972 0.165
0.000 0.744 0.380
0.500 0.494 0.662
0.000 0.742 0.121
0.500 0.526 0.330
0.000 0.264 0.583
0.500 0.768 0.600
0.000 0.505 0.843
0.000 0.490 0.160
0.500 0.235 0.411
0.500 0.259 0.090
0.500 0.747 0.903
0.000 0.009 0.335
0.500 0.749 0.251
0.500 0.244 0.748
0.000 0.492 0.513
0.000 0.012 0.990
0.000 0.004 0.654
0.000 0.745 0.754
0.500 0.502 0.003
0.500 0.998 0.477
0.000 0.253 0.246
```